TaHgIr2N | Alexandria | GGA-PBE | relaxed; total energy = -26.42 eV per cell; E_form (uncorrected) = 2.356 eV per atom; crystal system = tetragonal
1.0
-2.0644 -2.8797 3.5629
0.5718 -3.0245 -2.1133
4.5160 -0.6229 2.1133
Ta N Ir Hg
1 1 2 1
Cartesian
1.5117 -3.2635 1.7814 Ta
0.2859 -1.5123 -1.0566 N
2.2580 -0.3114 1.0566 Ir
-1.0322 -1.4398 1.7814 Ir
0.0000 0.0000 0.0000 Hg